# 1
Entry from Alexandria: a relaxed Pm2Pr2GaRh4 crystal (GGA-PBE).

a = 6.5347 Å, b = 6.5347 Å, c = 6.5347 Å
α = 117.63°, β = 117.63°, γ = 94.15°
Closest atoms and distances in Å follow each position.
Positions (direct):
Pm 0.1823 0.1823 0.0000  1 Ga 2.83, 4 Rh 2.84
Pm 0.8177 0.8177 0.0000  1 Ga 2.83, 4 Rh 2.84
Pr 0.2500 0.7500 0.5000  8 Rh 3.27, 4 Pm 3.44
Pr 0.7500 0.2500 0.5000  8 Rh 3.27, 4 Pm 3.44
Ga 0.5000 0.5000 0.0000  4 Rh 2.46
Rh 0.2431 0.2431 0.4863  1 Ga 2.46
Rh 0.2431 0.7569 0.0000  1 Ga 2.46
Rh 0.7569 0.2431 0.0000  1 Ga 2.46
Rh 0.7569 0.7569 0.5137  1 Ga 2.46

Computed properties:
* E: -6.125 eV per atom

***

# 2
Entry from Alexandria: a relaxed FeAgMo crystal (GGA-PBE).

a = 4.1535 Å, b = 4.1535 Å, c = 4.1535 Å
α = 60.00°, β = 60.00°, γ = 60.00°
Closest atoms and distances in Å follow each position.
Positions (direct):
Fe 0.0000 0.0000 0.0000  4 Mo 2.54, 4 Ag 2.54
Ag 0.2500 0.2500 0.2500  4 Fe 2.54
Mo 0.7500 0.7500 0.7500  4 Fe 2.54

Computed properties:
* offset from the most stable computed form: 512 meV/atom
* E: -6.507 eV per atom

***

# 3
Entry from Alexandria: a relaxed AcInSn2Br8 crystal (GGA-PBE).

a = 6.9813 Å, b = 7.3776 Å, c = 9.4382 Å
α = 87.35°, β = 87.62°, γ = 88.96°
Closest atoms and distances in Å follow each position.
Positions (direct):
Ac 0.0000 0.0000 0.0000  6 Br 3.04-3.08
In 0.0000 0.0000 0.5000  6 Br 3.25-3.32
Sn 0.4974 0.4930 0.7400  4 Br 2.76-3.03
Sn 0.5026 0.5070 0.2600  4 Br 2.76-3.03
Br 0.2347 0.8224 0.7639  1 Sn 3.03, 1 Ac 3.04, 1 In 3.25
Br 0.2535 0.8451 0.2331  1 Sn 3.02, 1 Ac 3.05, 1 In 3.26
Br 0.2594 0.3335 0.9770  1 Sn 2.94, 1 Ac 3.08
Br 0.2785 0.3541 0.5352  1 Sn 2.76
Br 0.7215 0.6459 0.4648  1 Sn 2.76
Br 0.7406 0.6665 0.0230  1 Sn 2.94, 1 Ac 3.08
Br 0.7465 0.1549 0.7669  1 Sn 3.02, 1 Ac 3.05, 1 In 3.26
Br 0.7653 0.1776 0.2361  1 Sn 3.03, 1 Ac 3.04, 1 In 3.25

Computed properties:
* E_form (uncorrected): -1145 meV per atom
* E: -3.498 eV per atom

***

# 4
Entry from Alexandria: a relaxed Li5In7 crystal (GGA-PBE).

a = 4.8193 Å, b = 4.8193 Å, c = 13.1742 Å
α = 100.07°, β = 100.07°, γ = 59.52°
Closest atoms and distances in Å follow each position.
Positions (direct):
Li 0.0000 0.0000 0.0000  8 In 2.86-2.96
Li 0.1488 0.1488 0.4390  8 In 2.80-3.06
Li 0.3899 0.3899 0.1655  7 In 2.86-3.17
Li 0.6101 0.6101 0.8345  7 In 2.86-3.17
Li 0.8512 0.8512 0.5610  8 In 2.80-3.06
In 0.0767 0.0767 0.2217  5 Li 2.80-2.87, 1 In 3.14
In 0.2144 0.2144 0.6606  4 Li 2.86-3.06, 3 In 3.14-3.18
In 0.3057 0.3057 0.9203  7 Li 2.95-3.17, 2 In 3.31
In 0.5000 0.5000 0.5000  6 Li 2.88-2.89
In 0.6943 0.6943 0.0797  7 Li 2.95-3.17, 2 In 3.31
In 0.7856 0.7856 0.3394  4 Li 2.86-3.06, 3 In 3.14-3.18
In 0.9233 0.9233 0.7783  5 Li 2.80-2.87, 1 In 3.14

Computed properties:
* E: -2.589 eV per atom

***

# 5
Entry from Alexandria: a relaxed Pm2Co3Ge5 crystal (GGA-PBE).

a = 8.2094 Å, b = 8.2094 Å, c = 8.2094 Å
α = 106.85°, β = 88.00°, γ = 138.17°
Closest atoms and distances in Å follow each position.
Positions (direct):
Pm 0.1353 0.2352 0.3705  10 Ge 2.92-3.26, 3 Co 3.09-3.19
Pm 0.3647 0.7352 0.0999  10 Ge 2.92-3.26, 3 Co 3.09-3.19
Pm 0.6353 0.2648 0.9001  10 Ge 2.92-3.26, 3 Co 3.09-3.19
Pm 0.8647 0.7648 0.6295  10 Ge 2.92-3.26, 3 Co 3.09-3.19
Co 0.1379 0.8935 0.0314  5 Ge 2.33-2.43
Co 0.2500 0.7500 0.5000  6 Ge 2.43-2.71
Co 0.3621 0.3935 0.7556  5 Ge 2.33-2.43
Co 0.6379 0.6065 0.2444  5 Ge 2.33-2.43
Co 0.7500 0.2500 0.5000  6 Ge 2.43-2.71
Co 0.8621 0.1065 0.9686  5 Ge 2.33-2.43
Ge 0.0204 0.7500 0.2704  2 Co 2.38, 2 Ge 2.67
Ge 0.0960 0.6607 0.7566  3 Co 2.33-2.43
Ge 0.2500 0.2500 0.0000  4 Co 2.43
Ge 0.4040 0.1607 0.5647  3 Co 2.33-2.43
Ge 0.4796 0.7500 0.7296  2 Co 2.38, 2 Ge 2.67
Ge 0.5204 0.2500 0.2704  2 Co 2.38, 2 Ge 2.67
Ge 0.5960 0.8393 0.4353  3 Co 2.33-2.43
Ge 0.7500 0.7500 0.0000  4 Co 2.43
Ge 0.9040 0.3393 0.2434  3 Co 2.33-2.43
Ge 0.9796 0.2500 0.7296  2 Co 2.38, 2 Ge 2.67

Computed properties:
* E: -5.983 eV per atom

***

# 6
Entry from Alexandria: a relaxed Mg2NiGe2 crystal (GGA-PBE).

a = 6.2868 Å, b = 6.2868 Å, c = 4.3473 Å
α = 90.00°, β = 90.00°, γ = 90.00°
Closest atoms and distances in Å follow each position.
Positions (direct):
Mg 0.1729 0.3271 0.0000  6 Ge 2.71-2.96
Mg 0.3271 0.8271 0.0000  6 Ge 2.71-2.96
Mg 0.6729 0.1729 0.0000  6 Ge 2.71-2.96
Mg 0.8271 0.6729 0.0000  6 Ge 2.71-2.96
Ni 0.0000 0.0000 0.5000  4 Ge 2.41
Ni 0.5000 0.5000 0.5000  4 Ge 2.41
Ge 0.1445 0.6445 0.5000  2 Ni 2.41, 1 Ge 2.57
Ge 0.3555 0.1445 0.5000  2 Ni 2.41, 1 Ge 2.57
Ge 0.6445 0.8555 0.5000  2 Ni 2.41, 1 Ge 2.57
Ge 0.8555 0.3555 0.5000  2 Ni 2.41, 1 Ge 2.57

Computed properties:
* E: -3.863 eV per atom

***

# 7
Entry from Alexandria: a relaxed Ta2NbTe2S4 crystal (GGA-PBE).

a = 3.4047 Å, b = 3.4047 Å, c = 21.7101 Å
α = 90.00°, β = 90.00°, γ = 120.00°
Closest atoms and distances in Å follow each position.
Positions (direct):
Ta 0.0000 0.0000 0.0000  6 S 2.50
Ta 0.3333 0.6667 0.3115  6 S 2.50
Nb 0.3333 0.6667 0.6700  6 Te 2.80-2.81
Te 0.0000 0.0000 0.5779  3 Nb 2.80
Te 0.0000 0.0000 0.7623  3 Nb 2.81
S 0.0000 0.0000 0.2406  3 Ta 2.50
S 0.0000 0.0000 0.3828  3 Ta 2.50
S 0.3333 0.6667 0.0709  3 Ta 2.50
S 0.3333 0.6667 0.9287  3 Ta 2.50

Computed properties:
* E_form (uncorrected): -812 meV per atom
* E: -7.098 eV per atom

***

# 8
Entry from Alexandria: a relaxed PmNdHg crystal (GGA-PBE).

a = 5.2459 Å, b = 5.2459 Å, c = 5.2459 Å
α = 60.00°, β = 60.00°, γ = 60.00°
Closest atoms and distances in Å follow each position.
Positions (direct):
Pm 0.0000 0.0000 0.0000  4 Hg 3.21
Nd 0.5000 0.5000 0.5000  4 Hg 3.21
Hg 0.2500 0.2500 0.2500  4 Nd 3.21, 4 Pm 3.21

Computed properties:
* offset from the most stable computed form: 234 meV/atom
* E: -3.370 eV per atom

***

# 9
Entry from Alexandria: a relaxed TmSn2Au crystal (GGA-PBE).

a = 4.5859 Å, b = 4.5859 Å, c = 4.3951 Å
α = 90.00°, β = 90.00°, γ = 90.00°
Closest atoms and distances in Å follow each position.
Positions (direct):
Tm 0.0000 0.0000 0.0000  8 Sn 3.18, 4 Au 3.24
Sn 0.0000 0.5000 0.5000  4 Tm 3.18, 4 Au 3.18, 4 Sn 3.24
Sn 0.5000 0.0000 0.5000  4 Tm 3.18, 4 Au 3.18, 4 Sn 3.24
Au 0.5000 0.5000 0.0000  8 Sn 3.18, 4 Tm 3.24

Computed properties:
* E: -4.439 eV per atom

***

# 10
Entry from Alexandria: a relaxed V5Tc6Ru crystal (GGA-PBE).

a = 4.2760 Å, b = 6.0903 Å, c = 6.7873 Å
α = 90.00°, β = 108.42°, γ = 90.00°
Closest atoms and distances in Å follow each position.
Positions (direct):
V 0.0000 0.0000 0.0000  8 Tc 2.59-2.64
V 0.3348 0.0000 0.6693  8 Tc 2.58-2.61
V 0.3367 0.5000 0.6731  8 Tc 2.64-2.65
V 0.6633 0.5000 0.3269  8 Tc 2.64-2.65
V 0.6652 0.0000 0.3307  8 Tc 2.58-2.61
Tc 0.1690 0.2461 0.3380  7 V 2.61-2.65, 1 Ru 2.67
Tc 0.1690 0.7539 0.3380  7 V 2.61-2.65, 1 Ru 2.67
Tc 0.5000 0.2393 0.0000  6 V 2.58-2.64, 2 Ru 2.66
Tc 0.5000 0.7607 0.0000  6 V 2.58-2.64, 2 Ru 2.66
Tc 0.8310 0.2461 0.6620  7 V 2.61-2.65, 1 Ru 2.67
Tc 0.8310 0.7539 0.6620  7 V 2.61-2.65, 1 Ru 2.67
Ru 0.0000 0.5000 0.0000  8 Tc 2.66-2.67

Computed properties:
* E: -9.982 eV per atom

***

# 11
Entry from Alexandria: a relaxed Ba2SrIr crystal (GGA-PBE).

a = 4.4935 Å, b = 7.5440 Å, c = 7.5440 Å
α = 49.50°, β = 90.00°, γ = 90.00°
Closest atoms and distances in Å follow each position.
Positions (direct):
Ba 0.0000 0.0000 0.0000  2 Ir 3.16
Ba 0.5000 0.3457 0.3457  2 Ir 3.03
Sr 0.5000 0.6355 0.6355  2 Ir 2.97
Ir 0.0000 0.4940 0.4940  2 Sr 2.97, 4 Ba 3.03-3.16

Computed properties:
* offset from the most stable computed form: 76 meV/atom
* E: -3.693 eV per atom

***

# 12
Entry from Alexandria: a relaxed Pr2Sn4HgPt3 crystal (GGA-PBE).

a = 4.6150 Å, b = 4.6150 Å, c = 11.0956 Å
α = 90.00°, β = 90.00°, γ = 90.00°
Closest atoms and distances in Å follow each position.
Positions (direct):
Pr 0.0000 0.5000 0.2474  8 Sn 3.47-3.63, 6 Pt 3.56-3.59, 2 Hg 3.59
Pr 0.5000 0.0000 0.7526  8 Sn 3.47-3.63, 6 Pt 3.56-3.59, 2 Hg 3.59
Sn 0.0000 0.0000 0.5000  4 Pt 2.69
Sn 0.0000 0.5000 0.8583  3 Pt 2.60-2.79, 2 Hg 2.79
Sn 0.5000 0.0000 0.1417  3 Pt 2.60-2.79, 2 Hg 2.79
Sn 0.5000 0.5000 0.5000  4 Pt 2.69
Hg 0.5000 0.5000 0.0000  4 Sn 2.79
Pt 0.0000 0.0000 0.0000  4 Sn 2.79
Pt 0.0000 0.5000 0.6242  5 Sn 2.60-2.69
Pt 0.5000 0.0000 0.3758  5 Sn 2.60-2.69

Computed properties:
* E: -5.111 eV per atom